No. 1
TmLuGe2Pd: optimized geometry, PBE.

Magnetization: 0.011 μB per atom
Volume: 101 Å³/f.u.
Space group: C2/m, No. 12
E_tot: -55.9 eV for the cell shown

Cell: 5.6677 5.6677 10.1070 Å, 115.14 115.14 44.40°
Sites, in units of the cell vectors:
1 Tm 0.1828 0.1828 0.1063
2 Tm 0.8172 0.8172 0.8937
3 Lu 0.0059 0.0059 0.3282
4 Lu 0.9941 0.9941 0.6718
5 Ge 0.3633 0.3633 0.4278
6 Ge 0.4709 0.4709 0.1165
7 Ge 0.5291 0.5291 0.8835
8 Ge 0.6367 0.6367 0.5722
9 Pd 0.2785 0.2785 0.6455
10 Pd 0.7215 0.7215 0.3545

***

No. 2
YLu2Ge4Pd4: optimized geometry, PBE.

Magnetization: 0.000 μB per atom
Volume: 203 Å³/f.u.
Space group: Immm, No. 71
E_tot: -64.7 eV for the cell shown

Cell: 8.0581 8.0581 8.0581 Å, 150.36 127.66 61.31°
Sites, in units of the cell vectors:
1 Y 0.0000 0.0000 0.0000
2 Lu 0.3745 0.8745 0.5000
3 Lu 0.6255 0.1255 0.5000
4 Ge 0.2189 0.2189 0.0000
5 Ge 0.3138 0.5000 0.8138
6 Ge 0.6862 0.5000 0.1862
7 Ge 0.7811 0.7811 0.0000
8 Pd 0.0271 0.3252 0.7019
9 Pd 0.3766 0.6748 0.7019
10 Pd 0.6234 0.3252 0.2981
11 Pd 0.9729 0.6748 0.2981

***

No. 3
PrLuGe: optimized geometry, PBE.

Magnetization: 0.026 μB per atom
Volume: 86 Å³/f.u.
Space group: F-43m, No. 216
E_tot: -13.1 eV for the cell shown

Cell: 4.9554 4.9554 4.9554 Å, 60.00 60.00 60.00°
Sites, in units of the cell vectors:
1 Pr 0.0000 0.0000 0.0000
2 Lu 0.7500 0.7500 0.7500
3 Ge 0.5000 0.5000 0.5000

***

No. 4
PrLu2Ge7: optimized geometry, PBE.

Magnetization: 0.000 μB per atom
Volume: 205 Å³/f.u.
Space group: Cmmm, No. 65
E_tot: -50.8 eV for the cell shown

Cell: 11.8054 11.8054 4.2192 Å, 90.00 90.00 159.56°
Sites, in units of the cell vectors:
1 Pr 0.0000 0.0000 0.0000
2 Lu 0.1883 0.8117 0.0000
3 Lu 0.8117 0.1883 0.0000
4 Ge 0.1010 0.8990 0.5000
5 Ge 0.2909 0.7091 0.5000
6 Ge 0.4000 0.6000 0.0000
7 Ge 0.5000 0.5000 0.5000
8 Ge 0.6000 0.4000 0.0000
9 Ge 0.7091 0.2909 0.5000
10 Ge 0.8990 0.1010 0.5000

***

No. 5
PrLuZn2Ge2: optimized geometry, PBE.

Energy relative to the lowest polymorph listed for this composition: 0.00 kJ/mol of atoms
Magnetization: 0.000 μB per atom
Volume: 125 Å³/f.u.
Space group: P6_3/mmc, No. 194

Cell: 4.2582 4.2582 15.8956 Å, 90.00 90.00 120.00°
Sites, in units of the cell vectors:
1 Pr 0.0000 0.0000 0.0000
2 Pr 0.0000 0.0000 0.5000
3 Lu 0.0000 0.0000 0.2500
4 Lu 0.0000 0.0000 0.7500
5 Zn 0.3333 0.6667 0.1566
6 Zn 0.3333 0.6667 0.3434
7 Zn 0.6667 0.3333 0.6566
8 Zn 0.6667 0.3333 0.8434
9 Ge 0.3333 0.6667 0.6204
10 Ge 0.3333 0.6667 0.8796
11 Ge 0.6667 0.3333 0.1204
12 Ge 0.6667 0.3333 0.3796

***

No. 6
LuGe2Pt: optimized geometry, PBE.

Magnetization: 0.032 μB per atom
Volume: 76 Å³/f.u.
Space group: F-43m, No. 216
E_tot: -21.6 eV for the cell shown

Cell: 4.7470 4.7470 4.7470 Å, 60.00 60.00 60.00°
Sites, in units of the cell vectors:
1 Lu 0.0000 0.0000 0.0000
2 Ge 0.2500 0.2500 0.2500
3 Ge 0.5000 0.5000 0.5000
4 Pt 0.7500 0.7500 0.7500

***

No. 7
TmLu2Ge4Pt4: optimized geometry, PBE.

Magnetization: 0.000 μB per atom
Volume: 202 Å³/f.u.
Space group: Immm, No. 71
E_tot: -66.8 eV for the cell shown

Cell: 8.0136 8.0136 8.0136 Å, 150.12 127.48 61.61°
Sites, in units of the cell vectors:
1 Tm 0.0000 0.0000 0.0000
2 Lu 0.3749 0.8749 0.5000
3 Lu 0.6251 0.1251 0.5000
4 Ge 0.2193 0.2193 0.0000
5 Ge 0.3136 0.5000 0.8136
6 Ge 0.6864 0.5000 0.1864
7 Ge 0.7807 0.7807 0.0000
8 Pt 0.0309 0.3268 0.7041
9 Pt 0.3773 0.6732 0.7041
10 Pt 0.6227 0.3268 0.2959
11 Pt 0.9691 0.6732 0.2959

***

No. 8
RbLuGe: optimized geometry, PBE.

Energy relative to the lowest polymorph listed for this composition: 69.88 kJ/mol of atoms
Magnetization: 0.000 μB per atom
Volume: 97 Å³/f.u.
Space group: F-43m, No. 216

Cell: 5.1626 5.1626 5.1626 Å, 60.00 60.00 60.00°
Sites, in units of the cell vectors:
1 Rb 0.0000 0.0000 0.0000
2 Lu 0.2500 0.2500 0.2500
3 Ge 0.7500 0.7500 0.7500

***

No. 9
RbLuGe: optimized geometry, PBE.

Energy relative to the lowest polymorph listed for this composition: 0.00 kJ/mol of atoms
Magnetization: 0.000 μB per atom
Volume: 104 Å³/f.u.
Space group: F-43m, No. 216

Cell: 5.2828 5.2828 5.2828 Å, 60.00 60.00 60.00°
Sites, in units of the cell vectors:
1 Rb 0.0000 0.0000 0.0000
2 Lu 0.5000 0.5000 0.5000
3 Ge 0.7500 0.7500 0.7500

***

No. 10
RbLuGeSe3: optimized geometry, PBE.

Energy relative to the lowest polymorph listed for this composition: 13.13 kJ/mol of atoms
Magnetization: 0.001 μB per atom
Volume: 188 Å³/f.u.
Space group: Cmcm, No. 63

Cell: 8.2854 8.2854 11.6367 Å, 90.00 90.00 151.88°
Sites, in units of the cell vectors:
1 Rb 0.2141 0.7859 0.7500
2 Rb 0.7859 0.2141 0.2500
3 Lu 0.5000 0.5000 0.0000
4 Lu 0.5000 0.5000 0.5000
5 Ge 0.0914 0.9086 0.2500
6 Ge 0.9086 0.0914 0.7500
7 Se 0.1194 0.8806 0.0152
8 Se 0.1194 0.8806 0.4848
9 Se 0.4864 0.5136 0.2500
10 Se 0.5136 0.4864 0.7500
11 Se 0.8806 0.1194 0.5152
12 Se 0.8806 0.1194 0.9848

***

No. 11
RbLuGeSe3: optimized geometry, PBE.

Energy relative to the lowest polymorph listed for this composition: 0.00 kJ/mol of atoms
Magnetization: 0.000 μB per atom
Volume: 186 Å³/f.u.
Space group: P2_1/m, No. 11

Cell: 8.8647 4.0230 11.1703 Å, 90.00 110.80 90.00°
Sites, in units of the cell vectors:
1 Rb 0.2281 0.2500 0.2732
2 Rb 0.7719 0.7500 0.7268
3 Lu 0.3677 0.7500 0.8457
4 Lu 0.6323 0.2500 0.1543
5 Ge 0.1278 0.2500 0.5609
6 Ge 0.8722 0.7500 0.4391
7 Se 0.1232 0.2500 0.7820
8 Se 0.3300 0.7500 0.5809
9 Se 0.3994 0.7500 0.1032
10 Se 0.6006 0.2500 0.8968
11 Se 0.6700 0.2500 0.4191
12 Se 0.8768 0.7500 0.2180

***

No. 12
Lu2ReGe2: optimized geometry, PBE.

Magnetization: 0.000 μB per atom
Volume: 100 Å³/f.u.
Space group: C2/m, No. 12
E_tot: -67.0 eV for the cell shown

Cell: 5.8042 5.8042 9.9828 Å, 115.74 115.74 42.32°
Sites, in units of the cell vectors:
1 Lu 0.0064 0.0064 0.1767
2 Lu 0.1852 0.1852 0.6141
3 Lu 0.8148 0.8148 0.3859
4 Lu 0.9936 0.9936 0.8233
5 Re 0.2728 0.2728 0.1333
6 Re 0.7272 0.7272 0.8667
7 Ge 0.3640 0.3640 0.9389
8 Ge 0.4890 0.4890 0.6235
9 Ge 0.5110 0.5110 0.3765
10 Ge 0.6360 0.6360 0.0611